# 1
The following is a DFT calculation (PBE) of a relaxed structure of RbBa2AlPb.

The value obtained for the density of states at the Fermi level is 5.45 states/eV/cell. The value obtained for the energy above the most stable polymorph in this dataset is 77 meV per atom. Its formation energy is 0.108 eV/atom.

It has space group P4/mmm (No. 123), with a = 6.9104 Å, b = 6.9104 Å, c = 5.5556 Å, α = 90.00°, β = 90.00° and γ = 90.00°. The inequivalent atoms are Rb at (0.0000, 0.0000, 0.0000), Ba at (0.0000, 0.5000, 0.5000), Al at (0.5000, 0.5000, 0.0000) and Pb at (0.5000, 0.5000, 0.5000).

=====

# 2
The following is a DFT calculation (PBE) of a relaxed structure of Ba2AlPbS.

The value obtained for the density of states at the Fermi level is 3.99 states/eV/cell. The electronic total energy comes out at -3.551 eV/atom.

It has space group P4/mmm (No. 123), with a = 6.0088 Å, b = 6.0088 Å, c = 5.5832 Å, α = 90.00°, β = 90.00° and γ = 90.00°. The inequivalent atoms are Ba at (0.0000, 0.5000, 0.0000), Al at (0.0000, 0.0000, 0.5000), Pb at (0.5000, 0.5000, 0.5000) and S at (0.5000, 0.5000, 0.0000).

=====

# 3
The following is a DFT calculation (PBE) of a relaxed structure of Ba2Al2PbS6.

The electronic total energy comes out at -4.810 eV/atom.

It has space group R-3m (No. 166, hexagonal axes), with a = 7.1504 Å, b = 7.1504 Å, c = 23.1385 Å, α = 90.00°, β = 90.00° and γ = 120.00°. The inequivalent atoms are Ba at (0.0000, 0.0000, 0.2070), Al at (0.0000, 0.0000, 0.4272), Pb at (0.0000, 0.0000, 0.0000) and S at (0.0150, 0.5075, 0.7614).

=====

# 4
The following is a DFT calculation (PBE) of a relaxed structure of BaAlPbS2.

The value obtained for the density of states at the Fermi level is 5.11 states/eV/cell. The electronic total energy comes out at -3.076 eV/atom.

It has space group P4/mmm (No. 123), with a = 5.7979 Å, b = 5.7979 Å, c = 5.8367 Å, α = 90.00°, β = 90.00° and γ = 90.00°. The inequivalent atoms are Ba at (0.0000, 0.0000, 0.0000), Al at (0.0000, 0.0000, 0.5000), Pb at (0.5000, 0.5000, 0.5000) and S at (0.0000, 0.5000, 0.0000).

=====

# 5
The following is a DFT calculation (PBE) of a relaxed structure of BaAlPbSe2.

The value obtained for the density of states at the Fermi level is 6.58 states/eV/cell. The electronic total energy comes out at -3.426 eV/atom.

It has space group P4/mmm (No. 123), with a = 5.1001 Å, b = 5.1001 Å, c = 5.9802 Å, α = 90.00°, β = 90.00° and γ = 90.00°. The inequivalent atoms are Ba at (0.0000, 0.0000, 0.0000), Al at (0.0000, 0.0000, 0.5000), Pb at (0.5000, 0.5000, 0.0000) and Se at (0.0000, 0.5000, 0.5000).

=====

# 6
The following is a DFT calculation (PBE) of a relaxed structure of Ba2AlPbSe5.

The value obtained for the density of states at the Fermi level is 14.88 states/eV/cell. The electronic total energy comes out at -4.440 eV/atom.

It has space group Cmc2_1 (No. 36), with a = 4.2500 Å, b = 19.1132 Å, c = 13.7307 Å, α = 90.00°, β = 90.00° and γ = 90.00°. The inequivalent atoms are Ba at (0.0000, 0.1138, 0.0000), Ba at (0.0000, 0.1269, 0.6467), Al at (0.0000, 0.4456, 0.7349), Pb at (0.0000, 0.2061, 0.3513), Se at (0.0000, 0.0312, 0.3290), Se at (0.0000, 0.2879, 0.9984), Se at (0.0000, 0.3225, 0.6911), Se at (0.0000, 0.3520, 0.3254) and Se at (0.0000, 0.4947, 0.0834).

=====

# 7
The following is a DFT calculation (PBE) of a relaxed structure of Ba2AlSnPb.

The value obtained for the density of states at the Fermi level is 7.41 states/eV/cell. Its formation energy is 0.111 eV/atom.

It has space group P4/mmm (No. 123), with a = 6.7036 Å, b = 6.7036 Å, c = 5.1309 Å, α = 90.00°, β = 90.00° and γ = 90.00°. The inequivalent atoms are Ba at (0.0000, 0.5000, 0.0000), Al at (0.0000, 0.0000, 0.5000), Sn at (0.5000, 0.5000, 0.5000) and Pb at (0.0000, 0.0000, 0.0000).

=====

# 8
The following is a DFT calculation (PBE) of a relaxed structure of BaAlTc2Pb.

The value obtained for the density of states at the Fermi level is 5.18 states/eV/cell. Its formation energy is 1.112 eV/atom.

It has space group P4/mmm (No. 123), with a = 4.8459 Å, b = 4.8459 Å, c = 5.7335 Å, α = 90.00°, β = 90.00° and γ = 90.00°. The inequivalent atoms are Ba at (0.0000, 0.0000, 0.0000), Al at (0.0000, 0.0000, 0.5000), Tc at (0.0000, 0.5000, 0.5000) and Pb at (0.5000, 0.5000, 0.0000).

=====

# 9
The following is a DFT calculation (PBE) of a relaxed structure of Ba2AlTe5Pb.

The value obtained for the density of states at the Fermi level is 20.21 states/eV/cell. The electronic total energy comes out at -3.965 eV/atom.

It has space group Cmc2_1 (No. 36), with a = 4.5372 Å, b = 21.5776 Å, c = 13.7480 Å, α = 90.00°, β = 90.00° and γ = 90.00°. The inequivalent atoms are Ba at (0.0000, 0.1099, 0.0000), Ba at (0.0000, 0.1193, 0.6240), Al at (0.0000, 0.4320, 0.7601), Te at (0.0000, 0.0494, 0.3678), Te at (0.0000, 0.2751, 0.0084), Te at (0.0000, 0.3163, 0.6870), Te at (0.0000, 0.3603, 0.3143), Te at (0.0000, 0.4971, 0.5997) and Pb at (0.0000, 0.2225, 0.3495).

=====

# 10
The following is a DFT calculation (PBE) of a relaxed structure of BaAl2Pd2.

The value obtained for the density of states at the Fermi level is 26.51 states/eV/cell. Its formation energy is -0.666 eV/atom.

It has space group Fddd (No. 70, origin choice 2), with a = 6.3495 Å, b = 11.2138 Å, c = 13.1935 Å, α = 90.00°, β = 90.00° and γ = 90.00°. The inequivalent atoms are Ba at (0.1250, 0.1250, 0.1250), Al at (0.1250, 0.3029, 0.6250) and Pd at (0.1250, 0.1250, 0.5069).

=====

# 11
The following is a DFT calculation (PBE) of a relaxed structure of BaAl3Pd3.

The value obtained for the density of states at the Fermi level is 18.78 states/eV/cell. The value obtained for the energy above the most stable polymorph in this dataset is 0 meV per atom. Its formation energy is -0.560 eV/atom.

It has space group R-3 (No. 148, hexagonal axes), with a = 6.8055 Å, b = 6.8055 Å, c = 22.9391 Å, α = 90.00°, β = 90.00° and γ = 120.00°. The inequivalent atoms are Ba at (0.0000, 0.0000, 0.1616), Al at (0.0317, 0.6028, 0.3717) and Pd at (0.0124, 0.7677, 0.5956).

=====

# 12
The following is a DFT calculation (PBE) of a relaxed structure of BaAl3Pd3.

The value obtained for the density of states at the Fermi level is 8.92 states/eV/cell. The value obtained for the energy above the most stable polymorph in this dataset is 38 meV per atom. Its formation energy is -0.522 eV/atom.

It has space group Pm-3n (No. 223), with a = 6.9230 Å, b = 6.9230 Å, c = 6.9230 Å, α = 90.00°, β = 90.00° and γ = 90.00°. The inequivalent atoms are Ba at (0.0000, 0.0000, 0.0000), Al at (0.0000, 0.2500, 0.5000) and Pd at (0.0000, 0.5000, 0.2500).

=====

# 13
The following is a DFT calculation (PBE) of a relaxed structure of Ba3Al2Pd4.

The value obtained for the density of states at the Fermi level is 8.83 states/eV/cell. Its formation energy is -0.634 eV/atom.

It has space group C2/m (No. 12), with a = 11.9847 Å, b = 4.3809 Å, c = 9.2357 Å, α = 90.00°, β = 101.53° and γ = 90.00°. The inequivalent atoms are Ba at (0.0000, 0.0000, 0.0000), Ba at (0.1193, 0.5000, 0.3877), Al at (0.1799, 0.5000, 0.7989), Pd at (0.0965, 0.0000, 0.6585) and Pd at (0.2302, 0.5000, 0.0866).